# 1
Below is a geometry-optimized Be2NbPO structure, with properties calculated at the PBE level.

## Properties
Total moment (μB/atom): 0.000
E_form (uncorrected) (meV per atom): 538
Raw total energy (eV per atom): -5.0402
D(E_F) (states/eV/atom): 0.842

Lattice parameters (Å, degrees): 3.971 3.971 3.918 90.00 90.00 90.00
Space group P4/mmm (No. 123)
Unique sites:
Be (0.000, 0.500, 0.000) [2 per cell]
Nb (0.000, 0.000, 0.500) [1 per cell]
P (0.500, 0.500, 0.000) [1 per cell]
O (0.500, 0.500, 0.500) [1 per cell]

***

# 2
Below is a geometry-optimized PaBe2NbO8 structure, with properties calculated at the PBE level.

## Properties
Total moment (μB/atom): 0.167
E_form (uncorrected) (meV per atom): -2090
Raw total energy (eV per atom): -7.6473
D(E_F) (states/eV/atom): 0.643

Lattice parameters (Å, degrees): 5.3395 5.3395 6.0703 90.00 90.00 120.00
Space group P-3m1 (No. 164)
Unique sites:
Pa (0.0000, 0.0000, 0.0000) [1 per cell]
Be (0.3333, 0.6667, 0.6452) [2 per cell]
Nb (0.0000, 0.0000, 0.5000) [1 per cell]
O (0.1622, 0.3244, 0.7342) [6 per cell]
O (0.3333, 0.6667, 0.3841) [2 per cell]